Entry 1:
# GGA-PBE CsRbAg2, optimized geometry
data_CsRbAg2
_cell_length_a 4.4110
_cell_length_b 4.4110
_cell_length_c 8.7826
_cell_angle_alpha 90.00
_cell_angle_beta 90.00
_cell_angle_gamma 90.00
_symmetry_space_group_name_H-M 'P 4/m m m'
_symmetry_Int_Tables_number 123
_symmetry_space_group_name_Hall '-P 4 2'
loop_
_atom_site_label
_atom_site_type_symbol
_atom_site_fract_x
_atom_site_fract_y
_atom_site_fract_z
Cs1 Cs 0.0000 0.0000 0.0000
Rb1 Rb 0.0000 0.0000 0.5000
Ag1 Ag 0.5000 0.5000 0.2697
# Crystal system: tetragonal
# DFT formation energy: 89 meV per atom



Entry 2:
# GGA-PBE Cs5Rb2Ag, optimized geometry
data_Cs5Rb2Ag
_cell_length_a 8.2982
_cell_length_b 15.5652
_cell_length_c 23.6945
_cell_angle_alpha 90.00
_cell_angle_beta 90.00
_cell_angle_gamma 90.00
_symmetry_space_group_name_H-M 'C m c m'
_symmetry_Int_Tables_number 63
_symmetry_space_group_name_Hall '-C 2c 2'
loop_
_atom_site_label
_atom_site_type_symbol
_atom_site_fract_x
_atom_site_fract_y
_atom_site_fract_z
Cs1 Cs 0.0000 0.0832 0.1352
Cs2 Cs 0.0000 0.2512 0.7500
Cs3 Cs 0.0000 0.4137 0.1366
Rb1 Rb 0.0000 0.2533 0.5499
Ag1 Ag 0.0000 0.2475 0.2500
# Crystal system: orthorhombic
# DFT formation energy: 44 meV per atom



Computed values of total moment (unit: μB per atom) for the preceding records, in sequence: 0.00, 0.00.